Density functional theory data (PBE) for a relaxed ReNi2Pb crystal.

- total energy (eV per formula unit) = -23.95

abc: 8.9090 8.9090 8.9090
angles: 153.48 153.48 37.85
Element x y z (fractional)
Re: 0.0000 0.0000 0.0000
Re: 0.7500 0.2500 0.5000
Ni: 0.0427 0.6250 0.9177
Ni: 0.3750 0.2927 0.4177
Ni: 0.7073 0.1250 0.0823
Ni: 0.8750 0.9573 0.5823
Pb: 0.2500 0.7500 0.5000
Pb: 0.5000 0.5000 0.0000



Density functional theory data (PBE) for a relaxed ReNi2Pb crystal.

- total energy (eV per formula unit) = -25.78

abc: 4.4803 4.4803 5.0933
angles: 99.78 99.78 38.19
Element x y z (fractional)
Re: 0.0000 0.0000 0.0000
Ni: 0.2592 0.2592 0.8216
Ni: 0.5155 0.5155 0.6040
Pb: 0.7615 0.7615 0.3377



Density functional theory data (PBE) for a relaxed ReNi2Pb crystal.

- total energy (eV per formula unit) = -25.40

abc: 5.2136 5.2136 5.2136
angles: 146.79 129.03 62.20
Element x y z (fractional)
Re: 0.0000 0.0000 0.0000
Ni: 0.5288 0.5288 0.0000
Ni: 0.7537 0.2537 0.5000
Pb: 0.2775 0.7775 0.5000



Density functional theory data (PBE) for a relaxed ReNi2Pb crystal.

- total energy (eV per formula unit) = -24.91

abc: 4.4267 4.4267 4.4267
angles: 60.00 60.00 60.00
Element x y z (fractional)
Re: 0.0000 0.0000 0.0000
Ni: 0.5000 0.5000 0.5000
Ni: 0.7500 0.7500 0.7500
Pb: 0.2500 0.2500 0.2500



Density functional theory data (PBE) for a relaxed ReNi2Pb crystal.

- total energy (eV per formula unit) = -25.22

abc: 4.6150 4.6150 4.6150
angles: 127.72 127.72 77.08
Element x y z (fractional)
Re: 0.0000 0.0000 0.0000
Ni: 0.2500 0.7500 0.5000
Ni: 0.7500 0.2500 0.5000
Pb: 0.5000 0.5000 0.0000



Density functional theory data (PBE) for a relaxed ReNi2Pb crystal.

- total energy (eV per formula unit) = -25.73

abc: 3.0333 3.0333 6.7294
angles: 90.00 90.00 90.00
Element x y z (fractional)
Re: 0.0000 0.0000 0.0000
Ni: 0.0000 0.0000 0.3872
Ni: 0.5000 0.5000 0.1951
Pb: 0.5000 0.5000 0.6654